GdTmGe2: optimized geometry, PBE.

```
GdTmGe2
1.0
-0.4035 1.9260 -4.1749
-1.9019 -2.3815 -3.4660
-5.4532 1.6922 -1.2435
Tm Gd Ge
1 1 2
Cartesian
-3.8793 0.6184 -4.4422
0.0000 0.0000 0.0000
-1.9985 0.3323 -2.2047
-5.7601 0.9044 -6.6797
```

Space group: R-3m (166)
Final energy in eV/atom: -7.6338
D(E_F) in states/eV per atom: 0.57

YTeMo2: optimized geometry, PBE.

```
YTeMo2
1.0
8.9147 -0.0067 -0.0040
8.2922 3.2727 -0.0040
8.2922 1.5739 2.8694
Y Mo Te
1 2 1
Cartesian
19.1243 3.6299 2.1461
25.2922 4.8007 2.8382
12.9564 2.4592 1.4539
6.3748 1.2100 0.7154
```

Space group: R-3m (166)
Formation energy (no corrections) in kJ/mol of atoms: 55
D(E_F) in states/eV per atom: 1.28

SmLuInIr: optimized geometry, PBE.

```
SmLuInIr
1.0
5.0802 0.0000 0.0000
2.5401 4.3996 0.0000
2.5401 1.4665 4.1479
Ir Sm In Lu
1 1 1 1
Cartesian
0.0000 0.0000 0.0000
7.6203 4.3996 3.1110
5.0802 2.9330 2.0740
2.5401 1.4665 1.0370
```

Space group: F-43m (216)
Final energy in eV/atom: -5.7326
D(E_F) in states/eV per atom: 0.63

HgTeRu2: optimized geometry, PBE.

```
HgTeRu2
1.0
-1.9118 0.3495 -2.3108
0.3043 -2.9228 -0.6939
-6.5536 -1.9013 5.1344
Te Ru Hg
1 2 1
Cartesian
-2.8998 -0.8413 2.2718
-2.2459 -1.7050 -0.3725
-0.2343 -0.0680 0.1836
-6.0579 -2.8109 2.6140
```

Space group: P4mm (99)
Formation energy (no corrections) in kJ/mol of atoms: 37
E above lowest polymorph in meV/atom: 8
D(E_F) in states/eV per atom: 1.53

KCrPt: optimized geometry, PBE.

```
KCrPt
1.0
4.8292 0.0000 0.0000
2.4146 4.1822 0.0000
2.4146 1.3941 3.9430
Cr Pt K
1 1 1
Cartesian
4.8292 2.7882 1.9715
0.0000 0.0000 0.0000
7.2438 4.1822 2.9573
```

Space group: F-43m (216)
E above lowest polymorph in meV/atom: 1082
D(E_F) in states/eV per atom: 0.29

InSn2: optimized geometry, PBE.

```
InSn2
1.0
3.4043 0.0000 0.0000
0.0000 3.4043 0.0000
-1.7021 -1.7021 7.1426
Sn In
2 1
Cartesian
1.7021 1.7021 2.4028
0.0000 0.0000 4.7398
0.0000 0.0000 0.0000
```

Space group: I4/mmm (139)
Final energy in eV/atom: -3.5493
D(E_F) in states/eV per atom: 0.35

La2PmInC: optimized geometry, PBE.

```
La2PmInC
1.0
5.1456 0.0000 0.0000
0.0000 5.2154 0.0000
0.0000 0.0000 5.2154
In C Pm La
1 1 1 2
Cartesian
2.5728 2.6077 2.6077
0.0000 0.0000 0.0000
2.5728 0.0000 0.0000
0.0000 2.6077 0.0000
0.0000 0.0000 2.6077
```

Space group: P4/mmm (123)
Final energy in eV/atom: -5.6463
D(E_F) in states/eV per atom: 0.55

Zr3InC: optimized geometry, PBE.

```
Zr3InC
1.0
4.7492 0.0000 0.0000
-2.3746 5.3295 -0.9581
0.0000 -2.0158 8.0611
Zr C In
6 2 2
Cartesian
0.0000 0.1544 5.1423
2.3746 3.1593 1.9606
2.3746 2.5482 5.7427
0.0000 0.7654 1.3603
0.0000 3.6746 -0.1711
2.3746 -0.3610 7.2741
2.3746 3.8956 -0.1494
0.0000 -0.5819 7.2523
2.3746 0.2827 3.2745
0.0000 3.0310 3.8285
```

Space group: C2/m (12)
Final energy in eV/atom: -8.0151
D(E_F) in states/eV per atom: 0.43

Tm3PbS: optimized geometry, PBE.

```
Tm3PbS
1.0
5.0986 0.0000 0.0000
0.0000 5.0986 0.0000
0.0000 0.0000 5.0986
Pb Tm S
1 3 1
Cartesian
2.5493 2.5493 2.5493
2.5493 0.0000 0.0000
0.0000 2.5493 0.0000
0.0000 0.0000 2.5493
0.0000 0.0000 0.0000
```

Space group: Pm-3m (221)
Formation energy (no corrections) in kJ/mol of atoms: -75
E above lowest polymorph in meV/atom: 232
D(E_F) in states/eV per atom: 0.77

Nd4SmTe7: optimized geometry, PBE.

```
Nd4SmTe7
1.0
-4.0423 1.4080 0.8368
2.6297 -3.0811 6.5209
4.5067 12.7040 0.3945
Nd Te Sm
4 7 1
Cartesian
1.8775 10.0527 3.5211
3.0897 11.0185 7.7516
1.2182 0.9802 4.2351
2.0525 4.8475 1.7584
-1.6063 0.5512 2.6793
-0.1456 4.0051 3.9241
2.8625 3.9919 7.1106
-0.4832 1.2563 6.9181
3.2496 7.0305 3.8682
4.7006 10.4813 5.0711
3.5669 9.7490 0.8271
1.0441 6.1958 5.9849
```

Space group: Cm (8)
Formation energy (no corrections) in kJ/mol of atoms: -138
D(E_F) in states/eV per atom: 0.19

Hf2MnGeH: optimized geometry, PBE.

```
Hf2MnGeH
1.0
-1.8846 -3.6496 1.5656
3.9674 -1.8064 0.5647
0.1452 1.3766 3.3839
H Hf Ge Mn
1 2 1 1
Cartesian
0.0000 0.0000 0.0000
1.9837 -0.9032 0.2823
-0.9423 -1.8248 0.7828
1.1140 -2.0397 2.7571
0.0726 0.6883 1.6919
```

Space group: P4/mmm (123)
Final energy in eV/atom: -7.7177
D(E_F) in states/eV per atom: 0.63

KY2Pb: optimized geometry, PBE.

```
KY2Pb
1.0
-4.4214 2.5426 -3.8168
-2.0776 -5.0093 4.2483
-1.5254 1.7487 2.6569
K Y Pb
1 2 1
Cartesian
-1.8015 -1.6303 3.4526
-2.9734 2.1456 -0.5800
0.0000 0.0000 0.0000
-3.2495 -1.2333 0.2158
```

Space group: C2/m (12)
Final energy in eV/atom: -4.2963
D(E_F) in states/eV per atom: 1.00